(one)
Compound: TbPr2Pd
Source: the Alexandria database
Functional: PBE
Structure: optimized geometry

Cell: 3.878 3.878 9.917 Å, 78.73 78.73 60.00°
Sites, in units of the cell vectors:
Pr (0.267, 0.267, 0.199)
Pd (0.667, 0.667, 0.999)
Tb (0.500, 0.500, 0.501)
Pr (0.066, 0.066, 0.801)

Values from the calculation:
space-group type	R3m, No. 160
total moment	0.001	μB/f.u.

=====

(two)
Compound: TbPr2Pd
Source: the Alexandria database
Functional: PBE
Structure: optimized geometry

Cell: 3.731 3.731 8.465 Å, 90.00 90.00 90.00°
Sites, in units of the cell vectors:
Pr (0.000, 0.000, 0.205)
Tb (0.500, 0.500, 0.500)
Pd (0.500, 0.500, 0.000)
Pr (0.000, 0.000, 0.795)

Values from the calculation:
space-group type	P4/mmm, No. 123
total moment	0.000	μB/f.u.

=====

It is (two) that is the most stable of them.

=====

(one)
Compound: TbPr2Pd
Source: the Alexandria database
Functional: PBE
Structure: optimized geometry

Cell: 3.819 3.819 10.125 Å, 79.13 79.13 60.00°
Sites, in units of the cell vectors:
Pr (0.267, 0.267, 0.199)
Pd (0.000, 0.000, 0.000)
Tb (0.500, 0.500, 0.500)
Pr (0.733, 0.733, 0.801)

Values from the calculation:
space-group type	R-3m, No. 166
total moment	0.000	μB/f.u.

=====

(two)
Compound: TbPr2Pd
Source: the Alexandria database
Functional: PBE
Structure: optimized geometry

Cell: 5.160 3.644 8.841 Å, 90.05 90.00 44.91°
Sites, in units of the cell vectors:
Pr (0.878, 0.999, 0.535)
Pd (0.878, 0.999, 0.009)
Pr (0.377, 0.000, 0.228)
Tb (0.378, 0.999, 0.839)

Values from the calculation:
space-group type	Cmm2, No. 35
total moment	0.000	μB/f.u.

=====

It is (two) that is the most stable of them.

=====

(one)
Compound: Tb2PrPd
Source: the Alexandria database
Functional: PBE
Structure: optimized geometry

Cell: 3.605 3.605 8.670 Å, 90.00 90.00 90.00°
Sites, in units of the cell vectors:
Tb (0.000, 0.000, 0.808)
Pd (0.500, 0.500, 0.000)
Tb (0.000, 0.000, 0.192)
Pr (0.500, 0.500, 0.500)

Values from the calculation:
space-group type	P4/mmm, No. 123
total moment	0.000	μB/f.u.

=====

(two)
Compound: Tb2PrPd
Source: the Alexandria database
Functional: PBE
Structure: optimized geometry

Cell: 3.761 3.761 10.017 Å, 79.18 79.18 60.00°
Sites, in units of the cell vectors:
Tb (0.270, 0.270, 0.190)
Pd (0.000, 0.000, 0.000)
Pr (0.500, 0.500, 0.500)
Tb (0.730, 0.730, 0.810)

Values from the calculation:
space-group type	R-3m, No. 166
total moment	0.000	μB/f.u.

=====

(three)
Compound: Tb2PrPd
Source: the Alexandria database
Functional: PBE
Structure: optimized geometry

Cell: 3.905 3.905 9.550 Å, 78.20 78.20 60.00°
Sites, in units of the cell vectors:
Tb (0.271, 0.271, 0.186)
Pr (0.501, 0.501, 0.496)
Pd (0.666, 0.666, 0.002)
Tb (0.061, 0.061, 0.816)

Values from the calculation:
space-group type	R3m, No. 160
total moment	0.000	μB/f.u.

=====

(four)
Compound: Tb2PrPd
Source: the Alexandria database
Functional: PBE
Structure: optimized geometry

Cell: 6.589 7.161 9.820 Å, 90.00 90.00 90.00°
Sites, in units of the cell vectors:
Pr (0.864, 0.020, 0.250)
Tb (0.170, 0.679, 0.061)
Pd (0.921, 0.613, 0.750)
Pr (0.136, 0.980, 0.750)
Pr (0.636, 0.520, 0.250)
Tb (0.670, 0.821, 0.561)
Pr (0.364, 0.480, 0.750)
Pd (0.421, 0.887, 0.250)
Tb (0.330, 0.179, 0.439)
Tb (0.830, 0.321, 0.939)
Tb (0.170, 0.679, 0.439)
Tb (0.830, 0.321, 0.561)
Pd (0.579, 0.113, 0.750)
Pd (0.079, 0.387, 0.250)
Tb (0.330, 0.179, 0.061)
Tb (0.670, 0.821, 0.939)

Values from the calculation:
space-group type	Pnma, No. 62
total moment	0.000	μB/f.u.

=====

It is (four) that is the most stable of them.

=====

(one)
Compound: TbPrZnPd
Source: the Alexandria database
Functional: PBE
Structure: optimized geometry

Cell: 5.123 5.123 5.123 Å, 60.00 60.00 60.00°
Sites, in units of the cell vectors:
Zn (0.000, 0.000, 0.000)
Tb (0.750, 0.750, 0.750)
Pr (0.250, 0.250, 0.250)
Pd (0.500, 0.500, 0.500)

Values from the calculation:
space-group type	F-43m, No. 216
total moment	0.000	μB/f.u.

=====

(two)
Compound: TbPrZnPd
Source: the Alexandria database
Functional: PBE
Structure: optimized geometry

Cell: 3.638 3.638 7.155 Å, 90.00 90.00 90.00°
Sites, in units of the cell vectors:
Pd (0.500, 0.500, 0.133)
Zn (0.500, 0.500, 0.587)
Tb (0.000, 0.000, 0.348)
Pr (0.000, 0.000, 0.859)

Values from the calculation:
space-group type	P4mm, No. 99
total moment	0.000	μB/f.u.

=====

It is (two) that is the most stable of them.

=====

(one)
Compound: Pr2TePd
Source: the Alexandria database
Functional: PBE
Structure: optimized geometry

Cell: 4.713 4.167 12.088 Å, 99.92 90.00 90.00°
Sites, in units of the cell vectors:
Pd (0.250, 0.461, 0.923)
Pr (0.750, 0.671, 0.342)
Pd (0.750, 0.539, 0.077)
Te (0.250, 0.193, 0.385)
Pr (0.750, 0.942, 0.884)
Te (0.750, 0.807, 0.615)
Pr (0.250, 0.329, 0.658)
Pr (0.250, 0.058, 0.116)

Values from the calculation:
space-group type	Cmcm, No. 63
total moment	0.000	μB/f.u.

=====

(two)
Compound: Pr2TePd
Source: the Alexandria database
Functional: PBE
Structure: optimized geometry

Cell: 3.831 3.831 7.421 Å, 90.00 90.00 90.00°
Sites, in units of the cell vectors:
Pd (0.500, 0.500, 0.000)
Te (0.500, 0.500, 0.500)
Pr (0.000, 0.000, 0.233)
Pr (0.000, 0.000, 0.767)

Values from the calculation:
space-group type	P4/mmm, No. 123
total moment	0.006	μB/f.u.

=====

(three)
Compound: Pr2TePd
Source: the Alexandria database
Functional: PBE
Structure: optimized geometry

Cell: 4.295 4.295 8.047 Å, 74.52 74.52 60.00°
Sites, in units of the cell vectors:
Pd (0.000, 0.000, 0.000)
Te (0.500, 0.500, 0.500)
Pr (0.260, 0.260, 0.219)
Pr (0.740, 0.740, 0.781)

Values from the calculation:
space-group type	R-3m, No. 166
total moment	0.000	μB/f.u.

=====

It is (one) that is the most stable of them.

=====

(one)
Compound: PrTe2Pd4
Source: the Alexandria database
Functional: PBE
Structure: optimized geometry

Cell: 4.611 4.611 8.286 Å, 73.85 73.85 60.00°
Sites, in units of the cell vectors:
Pd (0.572, 0.572, 0.285)
Te (0.746, 0.746, 0.761)
Pd (0.141, 0.141, 0.578)
Pr (0.000, 0.000, 0.000)
Te (0.254, 0.254, 0.239)
Pd (0.859, 0.859, 0.422)
Pd (0.428, 0.428, 0.715)

Values from the calculation:
space-group type	R-3m, No. 166
total moment	0.000	μB/f.u.

=====

(two)
Compound: PrTe2Pd4
Source: the Alexandria database
Functional: PBE
Structure: optimized geometry

Cell: 4.411 8.043 8.043 Å, 90.00 90.00 90.00°
Sites, in units of the cell vectors:
Pd (0.000, 0.902, 0.649)
Pd (0.500, 0.851, 0.402)
Te (0.000, 0.784, 0.216)
Pd (0.500, 0.402, 0.851)
Te (0.000, 0.216, 0.784)
Te (0.500, 0.284, 0.284)
Pr (0.500, 0.000, 0.000)
Pd (0.000, 0.649, 0.902)
Te (0.500, 0.716, 0.716)
Pr (0.000, 0.500, 0.500)
Pd (0.000, 0.351, 0.098)
Pd (0.500, 0.149, 0.598)
Pd (0.500, 0.598, 0.149)
Pd (0.000, 0.098, 0.351)

Values from the calculation:
space-group type	P4_2/mnm, No. 136
total moment	0.000	μB/f.u.

=====

It is (two) that is the most stable of them.

=====

(one)
Compound: PrThPd2
Source: the Alexandria database
Functional: PBE
Structure: optimized geometry

Cell: 5.143 5.143 5.143 Å, 60.00 60.00 60.00°
Sites, in units of the cell vectors:
Pd (0.250, 0.250, 0.250)
Pr (0.500, 0.500, 0.500)
Th (0.000, 0.000, 0.000)
Pd (0.750, 0.750, 0.750)

Values from the calculation:
space-group type	Fm-3m, No. 225
total moment	0.000	μB/f.u.

=====

(two)
Compound: PrThPd2
Source: the Alexandria database
Functional: PBE
Structure: optimized geometry

Cell: 3.667 3.667 7.291 Å, 90.00 90.00 90.00°
Sites, in units of the cell vectors:
Pr (0.500, 0.500, 0.500)
Pd (0.000, 0.000, 0.219)
Pd (0.000, 0.000, 0.781)
Th (0.500, 0.500, 0.000)

Values from the calculation:
space-group type	P4/mmm, No. 123
total moment	0.000	μB/f.u.

=====

(three)
Compound: PrThPd2
Source: the Alexandria database
Functional: PBE
Structure: optimized geometry

Cell: 4.641 5.883 7.743 Å, 108.69 90.00 90.00°
Sites, in units of the cell vectors:
Pr (0.750, 0.730, 0.934)
Th (0.750, 0.723, 0.430)
Th (0.250, 0.277, 0.570)
Pd (0.250, 0.830, 0.225)
Pd (0.750, 0.186, 0.312)
Pd (0.250, 0.814, 0.688)
Pr (0.250, 0.270, 0.066)
Pd (0.750, 0.170, 0.775)

Values from the calculation:
space-group type	P2_1/m, No. 11
total moment	0.000	μB/f.u.

=====

It is (three) that is the most stable of them.

=====

(one)
Compound: PrThPd2
Source: the Alexandria database
Functional: PBE
Structure: optimized geometry

Cell: 5.978 5.978 11.939 Å, 90.01 90.00 90.00°
Sites, in units of the cell vectors:
Pd (0.750, 0.000, 0.881)
Th (0.750, 0.501, 0.375)
Pd (0.750, 0.001, 0.369)
Pr (0.750, 0.000, 0.625)
Th (0.250, 0.001, 0.875)
Pr (0.750, 0.500, 0.875)
Pr (0.250, 0.000, 0.375)
Pd (0.250, 0.501, 0.869)
Pr (0.250, 0.500, 0.125)
Th (0.750, 0.999, 0.125)
Pd (0.750, 0.500, 0.619)
Pd (0.250, 0.500, 0.381)
Pd (0.250, 0.999, 0.631)
Th (0.250, 0.499, 0.625)
Pd (0.250, 0.000, 0.119)
Pd (0.750, 0.499, 0.131)

Values from the calculation:
space-group type	P2/c, No. 13
total moment	0.000	μB/f.u.

=====

(two)
Compound: PrThPd2
Source: the Alexandria database
Functional: PBE
Structure: optimized geometry

Cell: 4.136 4.136 7.633 Å, 74.28 74.28 60.00°
Sites, in units of the cell vectors:
Pd (0.254, 0.254, 0.237)
Pd (0.080, 0.080, 0.761)
Pr (0.497, 0.497, 0.509)
Th (0.669, 0.669, 0.993)

Values from the calculation:
space-group type	R3m, No. 160
total moment	0.000	μB/f.u.

=====

It is (one) that is the most stable of them.

=====

(one)
Compound: PrTh2Pd2
Source: the Alexandria database
Functional: PBE
Structure: optimized geometry

Cell: 3.812 8.289 8.289 Å, 90.00 90.00 90.00°
Sites, in units of the cell vectors:
Pr (0.000, 0.000, 0.000)
Th (0.500, 0.168, 0.668)
Th (0.500, 0.332, 0.168)
Pr (0.000, 0.500, 0.500)
Th (0.500, 0.668, 0.832)
Th (0.500, 0.832, 0.332)
Pd (0.000, 0.875, 0.625)
Pd (0.000, 0.125, 0.375)
Pd (0.000, 0.375, 0.875)
Pd (0.000, 0.625, 0.125)

Values from the calculation:
space-group type	P4/mbm, No. 127
total moment	0.000	μB/f.u.

=====

(two)
Compound: PrTh2Pd2
Source: the Alexandria database
Functional: PBE
Structure: optimized geometry

Cell: 5.294 5.294 6.247 Å, 114.91 114.91 90.00°
Sites, in units of the cell vectors:
Pd (0.367, 0.367, 0.737)
Th (0.250, 0.750, 0.500)
Pr (0.000, 0.000, 0.000)
Pd (0.633, 0.633, 0.263)
Th (0.750, 0.250, 0.500)

Values from the calculation:
space-group type	C2/m, No. 12
total moment	0.000	μB/f.u.

=====

It is (one) that is the most stable of them.

=====

(one)
Compound: Pr2ThPd
Source: the Alexandria database
Functional: PBE
Structure: optimized geometry

Cell: 3.618 3.618 11.287 Å, 80.78 80.78 60.00°
Sites, in units of the cell vectors:
Pr (0.104, 0.104, 0.687)
Pd (0.500, 0.500, 0.500)
Pr (0.896, 0.896, 0.313)
Th (0.000, 0.000, 0.000)

Values from the calculation:
space-group type	R-3m, No. 166
total moment	0.000	μB/f.u.

=====

(two)
Compound: Pr2ThPd
Source: the Alexandria database
Functional: PBE
Structure: optimized geometry

Cell: 3.676 3.676 8.523 Å, 90.00 90.00 90.00°
Sites, in units of the cell vectors:
Pr (0.000, 0.000, 0.789)
Pr (0.000, 0.000, 0.211)
Pd (0.500, 0.500, 0.000)
Th (0.500, 0.500, 0.500)

Values from the calculation:
space-group type	P4/mmm, No. 123
total moment	0.000	μB/f.u.

=====

It is (two) that is the most stable of them.